(1)
Crystalline YLuIn at its relaxed geometry. Source: Alexandria via LeMat-Bulk, functional GGA-PBE.

Unit cell a=5.185 b=5.185 c=3.630 alpha=90.00 beta=90.00 gamma=120.00
Sites, in units of the cell vectors:
Y  0.000  0.000  0.000
Lu  0.667  0.333  0.449
In  0.333  0.667  0.649

## Properties
calculated total energy: -4.803 eV/atom
formation enthalpy at 0 K: -22.01 kJ per mole of atoms

=====

(2)
Crystalline DyLuAlAu at its relaxed geometry. Source: Alexandria via LeMat-Bulk, functional GGA-PBE.

Unit cell a=7.178 b=7.178 c=7.178 alpha=90.00 beta=90.00 gamma=90.00
Sites, in units of the cell vectors:
Dy  0.000  0.000  0.000
Dy  0.000  0.500  0.500
Dy  0.500  0.000  0.500
Dy  0.500  0.500  0.000
Lu  0.000  0.000  0.500
Lu  0.000  0.500  0.000
Lu  0.500  0.000  0.000
Lu  0.500  0.500  0.500
Al  0.250  0.250  0.750
Al  0.250  0.750  0.250
Al  0.750  0.250  0.250
Al  0.750  0.750  0.750
Au  0.250  0.250  0.250
Au  0.250  0.750  0.750
Au  0.750  0.250  0.750
Au  0.750  0.750  0.250

## Properties
calculated total energy: -4.616 eV/atom
formation enthalpy at 0 K: -55.95 kJ per mole of atoms

=====

(3)
Crystalline ZnAgP2 at its relaxed geometry. Source: Alexandria via LeMat-Bulk, functional GGA-PBE.

Unit cell a=4.496 b=4.496 c=14.895 alpha=90.00 beta=90.00 gamma=90.00
Sites, in units of the cell vectors:
Zn  0.000  0.000  0.000
Zn  0.000  0.500  0.250
Zn  0.500  0.000  0.750
Zn  0.500  0.500  0.500
Ag  0.000  0.000  0.500
Ag  0.000  0.500  0.750
Ag  0.500  0.000  0.250
Ag  0.500  0.500  0.000
P  0.229  0.250  0.125
P  0.250  0.729  0.375
P  0.250  0.771  0.875
P  0.271  0.250  0.625
P  0.729  0.750  0.625
P  0.750  0.229  0.875
P  0.750  0.271  0.375
P  0.771  0.750  0.125

## Properties
calculated total energy: -3.438 eV/atom
formation enthalpy at 0 K: 28.79 kJ per mole of atoms

=====

(4)
Crystalline Mn3SnRh at its relaxed geometry. Source: Alexandria via LeMat-Bulk, functional GGA-PBE.

Unit cell a=4.802 b=4.802 c=4.802 alpha=90.00 beta=90.00 gamma=90.00
Sites, in units of the cell vectors:
Mn  0.000  0.000  0.500
Mn  0.000  0.500  0.000
Mn  0.500  0.000  0.000
Sn  0.500  0.500  0.500
Rh  0.000  0.000  0.000

## Properties
calculated total energy: -7.050 eV/atom
formation enthalpy at 0 K: 69.69 kJ per mole of atoms

=====

(5)
Crystalline TbTmTh2 at its relaxed geometry. Source: Alexandria via LeMat-Bulk, functional GGA-PBE.

Unit cell a=3.553 b=3.553 c=34.726 alpha=90.00 beta=90.00 gamma=120.00
Sites, in units of the cell vectors:
Tb  0.000  0.000  0.000
Tb  0.333  0.667  0.667
Tb  0.667  0.333  0.333
Tm  0.000  0.000  0.830
Tm  0.333  0.667  0.497
Tm  0.667  0.333  0.163
Th  0.000  0.000  0.416
Th  0.000  0.000  0.580
Th  0.333  0.667  0.082
Th  0.333  0.667  0.247
Th  0.667  0.333  0.749
Th  0.667  0.333  0.914

## Properties
calculated total energy: -5.944 eV/atom
formation enthalpy at 0 K: 3.98 kJ per mole of atoms

=====

(6)
Crystalline Ce3NF6 at its relaxed geometry. Source: Alexandria via LeMat-Bulk, functional GGA-PBE.

Unit cell a=7.673 b=7.673 c=5.769 alpha=112.04 beta=112.04 gamma=29.84
Sites, in units of the cell vectors:
Ce  0.000  0.000  0.000
Ce  0.307  0.307  0.306
Ce  0.653  0.653  0.577
N  0.153  0.153  0.308
F  0.060  0.060  0.677
F  0.246  0.246  0.864
F  0.446  0.446  0.741
F  0.493  0.493  0.247
F  0.813  0.813  0.567
F  0.860  0.860  0.154

## Properties
calculated total energy: -7.153 eV/atom
uncorrected formation energy: -34.2 eV/f.u.

=====

(7)
Crystalline Cs2CaCrCl6 at its relaxed geometry. Source: Alexandria via LeMat-Bulk, functional GGA-PBE.

Unit cell a=7.463 b=7.463 c=7.463 alpha=60.00 beta=60.00 gamma=60.00
Sites, in units of the cell vectors:
Cs  0.250  0.250  0.250
Cs  0.750  0.750  0.750
Ca  0.000  0.000  0.000
Cr  0.500  0.500  0.500
Cl  0.260  0.260  0.740
Cl  0.260  0.740  0.260
Cl  0.260  0.740  0.740
Cl  0.740  0.260  0.260
Cl  0.740  0.260  0.740
Cl  0.740  0.740  0.260

## Properties
calculated total energy: -4.250 eV/atom
uncorrected formation energy: -18.1 eV/f.u.

=====

(8)
Crystalline LiRhClF2 at its relaxed geometry. Source: Alexandria via LeMat-Bulk, functional GGA-PBE.

Unit cell a=3.567 b=3.567 c=5.716 alpha=90.00 beta=90.00 gamma=90.00
Sites, in units of the cell vectors:
Li  0.000  0.000  0.000
Rh  0.000  0.000  0.500
Cl  0.500  0.500  0.500
F  0.000  0.500  0.000
F  0.500  0.000  0.000

## Properties
calculated total energy: -3.833 eV/atom
uncorrected formation energy: -4.3 eV/f.u.

=====

(9)
Crystalline CsNa2U2S7 at its relaxed geometry. Source: Alexandria via LeMat-Bulk, functional GGA-PBE.

Unit cell a=12.415 b=12.415 c=12.415 alpha=155.57 beta=155.54 gamma=34.84
Sites, in units of the cell vectors:
Cs  0.000  0.000  0.000
Na  0.249  0.749  0.500
Na  0.751  0.251  0.500
U  0.389  0.389  0.000
U  0.611  0.611  0.000
S  0.110  0.610  0.500
S  0.284  0.284  0.000
S  0.390  0.890  0.500
S  0.500  0.500  0.000
S  0.610  0.110  0.500
S  0.716  0.716  0.000
S  0.890  0.390  0.500

## Properties
calculated total energy: -5.812 eV/atom
uncorrected formation energy: -14.8 eV/f.u.

=====

(10)
Crystalline Pr3Ge5Au6 at its relaxed geometry. Source: Alexandria via LeMat-Bulk, functional GGA-PBE.

Unit cell a=4.394 b=13.206 c=10.227 alpha=90.00 beta=90.00 gamma=90.00
Sites, in units of the cell vectors:
Pr  0.250  0.076  0.246
Pr  0.250  0.424  0.246
Pr  0.250  0.750  0.248
Pr  0.750  0.250  0.752
Pr  0.750  0.576  0.754
Pr  0.750  0.924  0.754
Ge  0.250  0.087  0.863
Ge  0.250  0.413  0.863
Ge  0.250  0.621  0.528
Ge  0.250  0.750  0.805
Ge  0.250  0.879  0.528
Ge  0.750  0.121  0.472
Ge  0.750  0.250  0.195
Ge  0.750  0.379  0.472
Ge  0.750  0.587  0.137
Ge  0.750  0.913  0.137
Au  0.250  0.072  0.614
Au  0.250  0.250  0.016
Au  0.250  0.250  0.458
Au  0.250  0.428  0.614
Au  0.250  0.591  0.991
Au  0.250  0.909  0.991
Au  0.750  0.091  0.009
Au  0.750  0.409  0.009
Au  0.750  0.572  0.386
Au  0.750  0.750  0.542
Au  0.750  0.750  0.984
Au  0.750  0.928  0.386

## Properties
calculated total energy: -4.655 eV/atom
formation enthalpy at 0 K: -55.72 kJ per mole of atoms

=====

(11)
Crystalline Sr2SiTe2 at its relaxed geometry. Source: Alexandria via LeMat-Bulk, functional GGA-PBE.

Unit cell a=6.356 b=6.356 c=8.888 alpha=90.00 beta=90.00 gamma=90.00
Sites, in units of the cell vectors:
Sr  0.000  0.500  0.250
Sr  0.000  0.500  0.750
Sr  0.500  0.000  0.250
Sr  0.500  0.000  0.750
Si  0.000  0.000  0.000
Si  0.500  0.500  0.500
Te  0.000  0.000  0.320
Te  0.000  0.000  0.680
Te  0.500  0.500  0.180
Te  0.500  0.500  0.820

## Properties
calculated total energy: -3.609 eV/atom
uncorrected formation energy: -3.0 eV/f.u.

=====

(12)
Crystalline TcGeRuW at its relaxed geometry. Source: Alexandria via LeMat-Bulk, functional GGA-PBE.

Unit cell a=6.174 b=6.174 c=6.174 alpha=90.00 beta=90.00 gamma=90.00
Sites, in units of the cell vectors:
Tc  0.000  0.000  0.000
Tc  0.000  0.500  0.500
Tc  0.500  0.000  0.500
Tc  0.500  0.500  0.000
Ge  0.250  0.250  0.250
Ge  0.250  0.750  0.750
Ge  0.750  0.250  0.750
Ge  0.750  0.750  0.250
Ru  0.000  0.000  0.500
Ru  0.000  0.500  0.000
Ru  0.500  0.000  0.000
Ru  0.500  0.500  0.500
W  0.250  0.250  0.750
W  0.250  0.750  0.250
W  0.750  0.250  0.250
W  0.750  0.750  0.750

## Properties
calculated total energy: -9.300 eV/atom
formation enthalpy at 0 K: 0.29 kJ per mole of atoms

=====

(13)
Crystalline KAl2CuBi at its relaxed geometry. Source: Alexandria via LeMat-Bulk, functional GGA-PBE.

Unit cell a=4.791 b=4.791 c=5.533 alpha=90.00 beta=90.00 gamma=90.00
Sites, in units of the cell vectors:
K  0.000  0.000  0.000
Al  0.000  0.500  0.500
Al  0.500  0.000  0.500
Cu  0.000  0.000  0.500
Bi  0.500  0.500  0.000

## Properties
calculated total energy: -3.052 eV/atom
formation enthalpy at 0 K: 25.08 kJ per mole of atoms

=====

(14)
Crystalline NdHoNi at its relaxed geometry. Source: Alexandria via LeMat-Bulk, functional GGA-PBE.

Unit cell a=3.453 b=3.453 c=12.583 alpha=90.00 beta=90.00 gamma=90.00
Sites, in units of the cell vectors:
Nd  0.000  0.000  0.000
Nd  0.500  0.500  0.500
Ho  0.000  0.000  0.263
Ho  0.500  0.500  0.763
Ni  0.000  0.000  0.645
Ni  0.500  0.500  0.145

## Properties
calculated total energy: -5.234 eV/atom
formation enthalpy at 0 K: -18.54 kJ per mole of atoms

=====

(15)
Crystalline KLaSm4Se8 at its relaxed geometry. Source: Alexandria via LeMat-Bulk, functional GGA-PBE.

Unit cell a=8.853 b=8.853 c=8.853 alpha=59.08 beta=59.08 gamma=59.08
Sites, in units of the cell vectors:
K  0.000  0.000  0.000
La  0.369  0.369  0.369
Sm  0.368  0.368  0.886
Sm  0.368  0.886  0.368
Sm  0.747  0.747  0.747
Sm  0.886  0.368  0.368
Se  0.134  0.134  0.578
Se  0.134  0.578  0.134
Se  0.138  0.138  0.138
Se  0.143  0.619  0.619
Se  0.578  0.134  0.134
Se  0.615  0.615  0.615
Se  0.619  0.143  0.619
Se  0.619  0.619  0.143

## Properties
calculated total energy: -5.548 eV/atom
uncorrected formation energy: -24.9 eV/f.u.

=====

(16)
Crystalline Sb2MoBr at its relaxed geometry. Source: Alexandria via LeMat-Bulk, functional GGA-PBE.

Unit cell a=3.425 b=3.402 c=8.033 alpha=90.00 beta=96.16 gamma=90.00
Sites, in units of the cell vectors:
Sb  0.050  0.000  0.197
Sb  0.950  0.000  0.803
Mo  0.500  0.500  0.000
Br  0.500  0.500  0.500

## Properties
calculated total energy: -5.092 eV/atom
uncorrected formation energy: 0.4 eV/f.u.

=====

(17)
Crystalline Y3HoGa4 at its relaxed geometry. Source: Alexandria via LeMat-Bulk, functional GGA-PBE.

Unit cell a=8.765 b=8.765 c=8.765 alpha=33.48 beta=33.48 gamma=33.48
Sites, in units of the cell vectors:
Y  0.000  0.000  0.000
Y  0.250  0.250  0.250
Y  0.750  0.750  0.750
Ho  0.500  0.500  0.500
Ga  0.125  0.125  0.125
Ga  0.375  0.375  0.375
Ga  0.625  0.625  0.625
Ga  0.875  0.875  0.875

## Properties
calculated total energy: -5.105 eV/atom
formation enthalpy at 0 K: -57.44 kJ per mole of atoms

=====

(18)
Crystalline AlSb2P at its relaxed geometry. Source: Alexandria via LeMat-Bulk, functional GGA-PBE.

Unit cell a=3.304 b=3.304 c=9.161 alpha=90.00 beta=90.00 gamma=90.00
Sites, in units of the cell vectors:
Al  0.000  0.000  0.000
Sb  0.000  0.000  0.296
Sb  0.500  0.500  0.642
P  0.500  0.500  0.919

## Properties
calculated total energy: -4.376 eV/atom
uncorrected formation energy: -0.1 eV/f.u.

=====

(19)
Crystalline H2Pt2Rh at its relaxed geometry. Source: Alexandria via LeMat-Bulk, functional GGA-PBE.

Unit cell a=6.731 b=6.731 c=2.710 alpha=90.00 beta=90.00 gamma=90.00
Sites, in units of the cell vectors:
H  0.246  0.254  0.000
H  0.254  0.754  0.000
H  0.746  0.246  0.000
H  0.754  0.746  0.000
Pt  0.140  0.640  0.500
Pt  0.360  0.140  0.500
Pt  0.640  0.860  0.500
Pt  0.860  0.360  0.500
Rh  0.000  0.000  0.500
Rh  0.500  0.500  0.500

## Properties
calculated total energy: -4.850 eV/atom

=====

(20)
Crystalline Ba2TlSnH at its relaxed geometry. Source: Alexandria via LeMat-Bulk, functional GGA-PBE.

Unit cell a=5.806 b=5.806 c=4.596 alpha=90.00 beta=90.00 gamma=90.00
Sites, in units of the cell vectors:
Ba  0.000  0.500  0.000
Ba  0.500  0.000  0.000
Tl  0.000  0.000  0.500
Sn  0.500  0.500  0.500
H  0.500  0.500  0.000

## Properties
calculated total energy: -3.087 eV/atom

=====

(21)
Crystalline Tb5Zr3Ni16As12 at its relaxed geometry. Source: Alexandria via LeMat-Bulk, functional GGA-PBE.

Unit cell a=12.781 b=12.781 c=3.946 alpha=90.00 beta=90.00 gamma=120.00
Sites, in units of the cell vectors:
Tb  0.000  0.815  0.000
Tb  0.185  0.185  0.000
Tb  0.333  0.667  0.500
Tb  0.667  0.333  0.500
Tb  0.815  0.000  0.000
Zr  0.000  0.435  0.500
Zr  0.435  0.000  0.500
Zr  0.565  0.565  0.500
Ni  0.000  0.000  0.500
Ni  0.000  0.275  0.000
Ni  0.121  0.637  0.000
Ni  0.185  0.377  0.500
Ni  0.193  0.815  0.500
Ni  0.275  0.000  0.000
Ni  0.363  0.484  0.000
Ni  0.377  0.185  0.500
Ni  0.484  0.363  0.000
Ni  0.516  0.879  0.000
Ni  0.623  0.807  0.500
Ni  0.637  0.121  0.000
Ni  0.725  0.725  0.000
Ni  0.807  0.623  0.500
Ni  0.815  0.193  0.500
Ni  0.879  0.516  0.000
As  0.000  0.178  0.500
As  0.000  0.642  0.500
As  0.173  0.478  0.000
As  0.178  0.000  0.500
As  0.305  0.827  0.000
As  0.358  0.358  0.500
As  0.478  0.173  0.000
As  0.522  0.695  0.000
As  0.642  0.000  0.500
As  0.695  0.522  0.000
As  0.822  0.822  0.500
As  0.827  0.305  0.000

## Properties
calculated total energy: -6.314 eV/atom
formation enthalpy at 0 K: -81.02 kJ per mole of atoms